The following is a GGA-PBEsol calculation of a relaxed CaScAl2 crystal, from Alexandria.

Cell and atoms, written as extended XYZ:
```
4
Lattice="-0.605 -3.391 -0.393 1.716 0.043 -3.012 6.067 -1.481 3.436" Properties=species:S:1:pos:R:3 pbc="T T T"
Sc 3.589 -2.414 0.016
Al 4.363 -1.065 2.471
Al 1.704 -0.416 0.965
Ca 0.556 -1.674 -1.702
```

ΔE to the lowest computed polymorph (meV/atom): 0.0
VASP energy (eV per cell): -18.20
Formation energy (eV/f.u.): -1.28
SG: No. 123
Total magnetization (μB per atom): 0.000